1.
Density functional theory data (PBEsol) for a geometry-optimized LiLa2Zn structure.

The space group is Imm2 (No. 44) and the conventional cell measures 3.673, 5.136 and 10.555 Å, with angles of 90.00, 90.00 and 90.00 degrees. The distinct sites, in fractional coordinates, are Li at (0.000, 0.000, 0.000), La at (0.000, 0.000, 0.562), La at (0.000, 0.500, 0.784) and Zn at (0.000, 0.500, 0.321).

Its crystal system is orthorhombic. For the energy relative to the elements, the calculation gives -0.0761 eV/atom.


2.
Density functional theory data (PBEsol) for a geometry-optimized Sc2TlRe structure.

The space group is R-3m (No. 166, hexagonal axes) and the conventional cell measures 3.0104, 3.0104 and 30.6857 Å, with angles of 90.00, 90.00 and 120.00 degrees. The distinct sites, in fractional coordinates, are Sc at (0.0000, 0.0000, 0.0829), Tl at (0.0000, 0.0000, 0.5000) and Re at (0.0000, 0.0000, 0.0000).

Its crystal system is trigonal. For the energy relative to the elements, the calculation gives 0.4899 eV/atom.


3.
Density functional theory data (PBEsol) for a geometry-optimized Co2HRh structure.

The space group is I-42d (No. 122) and the conventional cell measures 5.681, 5.681 and 4.708 Å, with angles of 90.00, 90.00 and 90.00 degrees. The distinct sites, in fractional coordinates, are Co at (0.144, 0.750, 0.125), H at (0.000, 0.000, 0.000) and Rh at (0.000, 0.000, 0.500).

Its crystal system is tetragonal.


4.
Density functional theory data (PBEsol) for a geometry-optimized AlFeSi2 structure.

The space group is I-42d (No. 122) and the conventional cell measures 7.232, 7.232 and 4.577 Å, with angles of 90.00, 90.00 and 90.00 degrees. The distinct sites, in fractional coordinates, are Al at (0.000, 0.000, 0.000), Fe at (0.000, 0.000, 0.500) and Si at (0.164, 0.750, 0.625).

The formation energy without anion corrections comes out at 0.1786 eV per atom. Its crystal system is tetragonal.


5.
Density functional theory data (PBEsol) for a geometry-optimized KTl3 structure.

The space group is P-6m2 (No. 187) and the conventional cell measures 3.7146, 3.7146 and 10.4769 Å, with angles of 90.00, 90.00 and 120.00 degrees. The distinct sites, in fractional coordinates, are K at (0.0000, 0.0000, 0.0000), Tl at (0.0000, 0.0000, 0.5000) and Tl at (0.3333, 0.6667, 0.2740).

Its crystal system is hexagonal. For the energy relative to the elements, the calculation gives 0.0070 eV/atom.


6.
Density functional theory data (PBEsol) for a geometry-optimized SnHPbI2 structure.

The space group is P4/mmm (No. 123) and the conventional cell measures 6.040, 6.040 and 5.968 Å, with angles of 90.00, 90.00 and 90.00 degrees. The distinct sites, in fractional coordinates, are Sn at (0.000, 0.000, 0.000), H at (0.500, 0.500, 0.500), Pb at (0.000, 0.000, 0.500) and I at (0.000, 0.500, 0.000).

Its crystal system is tetragonal.


7.
Density functional theory data (PBEsol) for a geometry-optimized SrRhAu4 structure.

The space group is F-43m (No. 216) and the conventional cell measures 7.714, 7.714 and 7.714 Å, with angles of 90.00, 90.00 and 90.00 degrees. The distinct sites, in fractional coordinates, are Sr at (0.000, 0.000, 0.000), Rh at (0.250, 0.250, 0.750) and Au at (0.124, 0.124, 0.376).

Its crystal system is cubic. For the energy relative to the elements, the calculation gives -0.1382 eV/atom.


8.
Density functional theory data (PBEsol) for a geometry-optimized CdReP structure.

The space group is I4mm (No. 107) and the conventional cell measures 3.093, 3.093 and 9.882 Å, with angles of 90.00, 90.00 and 90.00 degrees. The distinct sites, in fractional coordinates, are Cd at (0.000, 0.000, 0.000), Re at (0.000, 0.000, 0.298) and P at (0.000, 0.000, 0.699).

The value obtained for the energy above the most stable polymorph in this dataset is 0.000 eV per atom. Its crystal system is tetragonal. For the energy relative to the elements, the calculation gives 0.0323 eV/atom.


Looking at DOS(E_F) for the records above, in order, we have 3.92; 4.21; 3.75; 3.13; 1.77; 3.05; 3.22; 0.71 states/eV/f.u..
Looking at electronic total energy for the records above, in order, we have -3.6364; -6.8032; -6.4862; -5.9585; -2.2489; -2.4452; -4.4173; -6.7412 eV/atom.